Record 1
# Al2SnGe

Crystalline Al2SnGe at its relaxed geometry (PBE, the Alexandria database).

Properties
Its density of states at the Fermi level is 1.3 states/eV/f.u.

Unit cell a=3.297 b=3.297 c=7.406 alpha=90.00 beta=90.00 gamma=90.00
Space group P4/mmm (No. 123)
One atom of each set of equivalent atoms:
Al 0.000 0.000 0.209 x2
Sn 0.500 0.500 0.500 x1
Ge 0.500 0.500 0.000 x1

***

Record 2
# Al2SnGe

Crystalline Al2SnGe at its relaxed geometry (PBE, the Alexandria database).

Properties
Its density of states at the Fermi level is 2.5 states/eV/f.u.

Unit cell a=6.887 b=6.887 c=6.887 alpha=90.00 beta=90.00 gamma=90.00
Space group Fm-3m (No. 225)
One atom of each set of equivalent atoms:
Al 0.250 0.250 0.250 x8
Sn 0.000 0.000 0.000 x4
Ge 0.000 0.000 0.500 x4

***

Number 1: energy -3.871 eV/atom, energy of formation from the pure elements 0.16 eV/atom. Number 2: energy -3.804 eV/atom, energy of formation from the pure elements 0.22 eV/atom.